# K2TbWO6 PBE+U relaxed
# **Raw total energy**: -6.571 eV/atom
data_K2TbWO6
_chemical_formula_sum 'K12 Tb6 W6 O36'
_symmetry_space_group_name_H-M 'R -3 m'
_symmetry_Int_Tables_number 166
_symmetry_space_group_name_Hall '-R 3 2"'
_cell_length_a 6.2070
_cell_length_b 6.2070
_cell_length_c 30.4970
_cell_angle_alpha 90.00
_cell_angle_beta 90.00
_cell_angle_gamma 120.00
loop_
_atom_site_label
_atom_site_fract_x
_atom_site_fract_y
_atom_site_fract_z
K1 0.0000 0.0000 0.1359
K2 0.0000 0.0000 0.2672
Tb1 0.0000 0.0000 0.4006
W1 0.0000 0.0000 0.0000
W2 0.0000 0.0000 0.5000
O1 0.0368 0.5184 0.7035
O2 0.0469 0.5235 0.1272